[1]
VASP calculation (PBE-GGA) on a geometry-optimized LaNdC4 structure.

**Total moment**: 0.00 μB/cell
**Energy relative to the elements**: -0.14 eV/atom
**SG**: C2/m, No. 12

Cell and atoms, written as extended XYZ:
```
6
Lattice="-3.331 -1.066 2.553 -3.088 -2.905 -0.879 0.688 -6.522 3.543" Properties=species:S:1:pos:R:3 pbc="T T T"
La -2.866 -5.247 2.609
Nd 0.000 0.000 0.000
C -4.571 -8.419 4.188
C -1.755 -3.109 1.542
C -1.161 -2.075 1.030
C -3.977 -7.385 3.675
```

***

[2]
VASP calculation (PBE-GGA) on a geometry-optimized LaNd3C8 structure.

**Total moment**: 0.00 μB/cell
**Energy relative to the elements**: 0.14 eV/atom
**SG**: I-42m, No. 121

Cell and atoms, written as extended XYZ:
```
12
Lattice="6.348 0.000 1.368 -3.040 5.137 2.561 0.267 0.000 6.491" Properties=species:S:1:pos:R:3 pbc="T T T"
La 6.613 0.000 7.857
Nd 3.440 2.568 7.176
Nd 0.133 2.568 3.246
Nd 3.308 0.000 3.930
C 0.613 0.000 3.947
C 1.854 3.414 5.155
C 4.895 1.723 2.593
C 2.830 0.000 6.584
C 5.705 0.000 5.009
C 2.437 2.370 4.664
C -0.604 2.767 7.225
C 2.653 0.000 1.382
```

***

[3]
VASP calculation (PBE-GGA) on a geometry-optimized LaNd2C structure.

**Total moment**: 0.00 μB/cell
**Energy relative to the elements**: 0.01 eV/atom
**SG**: Cmcm, No. 63

Cell and atoms, written as extended XYZ:
```
16
Lattice="6.540 0.000 0.000 0.000 6.443 0.000 0.000 0.000 11.305" Properties=species:S:1:pos:R:3 pbc="T T T"
La 3.641 4.832 2.826
La 6.168 1.610 2.826
La 2.898 1.611 8.478
La 0.372 4.833 8.478
Nd 0.686 4.831 1.101
Nd 2.584 1.609 4.552
Nd 5.853 1.613 6.753
Nd 3.956 4.834 10.204
Nd 5.853 1.613 10.204
Nd 3.956 4.834 6.753
Nd 0.686 4.831 4.552
Nd 2.584 1.609 1.101
C 1.637 3.220 2.826
C 1.633 6.442 2.826
C 4.903 3.223 8.478
C 4.906 0.002 8.478
```

***

[4]
VASP calculation (PBE-GGA) on a geometry-optimized LaNdC4 structure.

**Total moment**: 0.00 μB/cell
**Energy relative to the elements**: -0.14 eV/atom
**SG**: P4/mmm, No. 123

Cell and atoms, written as extended XYZ:
```
6
Lattice="3.900 0.000 0.000 0.000 3.900 0.000 0.000 0.000 6.516" Properties=species:S:1:pos:R:3 pbc="T T T"
La 1.950 1.950 3.258
Nd 0.000 0.000 0.000
C 0.000 0.000 3.906
C 1.950 1.950 0.649
C 1.950 1.950 5.867
C 0.000 0.000 2.610
```

***

[5]
VASP calculation (PBE-GGA) on a geometry-optimized La2NdC structure.

**Total moment**: 0.00 μB/cell
**Energy relative to the elements**: 0.02 eV/atom
**SG**: R-3m, No. 166

Cell and atoms, written as extended XYZ:
```
4
Lattice="3.680 0.000 0.000 1.840 3.187 0.000 1.840 1.062 10.264" Properties=species:S:1:pos:R:3 pbc="T T T"
C 3.680 2.125 5.132
Nd 0.000 0.000 0.000
La 1.840 1.062 6.596
La 5.520 3.187 3.668
```

***

[6]
VASP calculation (PBE-GGA) on a geometry-optimized LaNd2SnC structure.

**Total moment**: 0.00 μB/cell
**Energy relative to the elements**: -0.47 eV/atom
**SG**: P4/mmm, No. 123

Cell and atoms, written as extended XYZ:
```
5
Lattice="-4.284 -1.231 2.629 0.630 -4.933 -1.282 2.811 -0.741 4.234" Properties=species:S:1:pos:R:3 pbc="T T T"
La -2.142 -0.615 1.315
Nd 1.406 -0.371 2.117
Nd 0.315 -2.466 -0.641
Sn -0.422 -3.452 2.790
C 0.000 0.000 0.000
```